The following is a GGA-PBE calculation of a relaxed structure of Li4As, from the Alexandria database.

## Properties
space-group type = No. 139
DOS at the Fermi energy = 0.404 states/eV per atom
M_tot = 0.000 μB per atom
relative energy among the computed polymorphs = 31.3 kJ per mole of atoms

Cell and atoms, written as POSCAR:
```
Li4As
1.0
-2.497 2.497 3.555
2.497 -2.497 3.555
2.497 2.497 -3.555
Li As
4 1
Direct
0.337 0.337 0.000
0.663 0.663 0.000
0.250 0.750 0.500
0.750 0.250 0.500
0.000 0.000 0.000
```

***

The following is a GGA-PBE calculation of a relaxed structure of LiAs, from the Alexandria database.

## Properties
E_tot = -113.61 eV/cell
space-group type = No. 70
DOS at the Fermi energy = 0.233 states/eV per atom
M_tot = 0.000 μB per atom

Cell and atoms, written as POSCAR:
```
LiAs
1.0
7.739 0.000 0.000
0.000 10.314 0.000
0.000 0.000 8.591
As Li
16 16
Direct
0.500 0.381 0.500
0.750 0.131 0.750
0.250 0.631 0.750
0.250 0.131 0.250
0.750 0.631 0.250
0.750 0.869 0.250
0.250 0.369 0.250
0.250 0.869 0.750
0.500 0.619 0.500
0.500 0.881 0.000
0.000 0.381 0.000
0.000 0.881 0.500
0.750 0.369 0.750
0.500 0.119 0.000
0.000 0.119 0.500
0.000 0.619 0.000
0.698 0.500 0.000
0.802 0.000 0.000
0.198 0.500 0.500
0.448 0.750 0.250
0.302 0.500 0.000
0.448 0.250 0.750
0.698 0.000 0.500
0.302 0.000 0.500
0.052 0.750 0.250
0.552 0.750 0.750
0.948 0.250 0.250
0.052 0.250 0.750
0.802 0.500 0.500
0.552 0.250 0.250
0.198 0.000 0.000
0.948 0.750 0.750
```

***

The following is a GGA-PBE calculation of a relaxed structure of LiAs, from the Alexandria database.

## Properties
E_tot = -42.50 eV/cell
space-group type = No. 166
DOS at the Fermi energy = 0.070 states/eV per atom
M_tot = 0.000 μB per atom

Cell and atoms, written as POSCAR:
```
LiAs
1.0
-3.392 -0.333 -2.483
3.480 -2.214 -0.877
-5.882 -13.129 9.798
As Li
6 6
Direct
0.000 0.000 0.069
0.333 0.667 0.264
0.667 0.333 0.598
0.333 0.667 0.402
0.667 0.333 0.736
0.000 0.000 0.931
0.333 0.667 0.000
0.000 0.000 0.667
0.333 0.667 0.667
0.667 0.333 0.000
0.667 0.333 0.333
0.000 0.000 0.333
```

***

The following is a GGA-PBE calculation of a relaxed structure of LiAs3, from the Alexandria database.

## Properties
space-group type = No. 139
DOS at the Fermi energy = 0.289 states/eV per atom
M_tot = 0.000 μB per atom
relative energy among the computed polymorphs = 10.6 kJ per mole of atoms

Cell and atoms, written as POSCAR:
```
LiAs3
1.0
9.041 -2.913 -0.521
8.606 0.504 4.024
-9.455 -1.047 -0.119
As Li
6 2
Direct
0.750 0.250 0.500
0.116 0.116 0.000
0.500 0.000 0.500
0.000 0.500 0.500
0.884 0.884 0.000
0.250 0.750 0.500
0.632 0.632 0.000
0.368 0.368 0.000
```

***

The following is a GGA-PBE calculation of a relaxed structure of LiAs3, from the Alexandria database.

## Properties
space-group type = No. 123
DOS at the Fermi energy = 0.440 states/eV per atom
M_tot = 0.000 μB per atom
relative energy among the computed polymorphs = 16.3 kJ per mole of atoms

Cell and atoms, written as POSCAR:
```
LiAs3
1.0
2.816 0.000 0.000
0.000 2.816 0.000
0.000 0.000 8.950
As Li
3 1
Direct
0.500 0.500 0.213
0.500 0.500 0.787
0.000 0.000 0.500
0.000 0.000 0.000
```

***

The following is a GGA-PBE calculation of a relaxed structure of Li4As3, from the Alexandria database.

## Properties
space-group type = No. 191
DOS at the Fermi energy = 0.598 states/eV per atom
M_tot = 0.000 μB per atom
relative energy among the computed polymorphs = 14.9 kJ per mole of atoms

Cell and atoms, written as POSCAR:
```
Li4As3
1.0
-4.389 3.224 -0.482
1.286 -3.484 -4.012
-2.790 -3.481 2.128
As Li
3 4
Direct
0.500 0.000 0.000
0.000 0.500 0.000
0.500 0.500 0.000
0.000 0.000 0.758
0.667 0.333 0.500
0.000 0.000 0.242
0.333 0.667 0.500
```

***

The following is a GGA-PBE calculation of a relaxed structure of LiAs, from the Alexandria database.

## Properties
E_tot = -56.38 eV/cell
space-group type = No. 124
DOS at the Fermi energy = 0.152 states/eV per atom
M_tot = 0.000 μB per atom

Cell and atoms, written as POSCAR:
```
LiAs
1.0
7.923 0.000 0.000
0.000 7.923 0.000
0.000 0.000 5.280
As Li
8 8
Direct
0.151 0.554 0.500
0.151 0.446 0.000
0.446 0.849 0.000
0.849 0.446 0.500
0.554 0.849 0.500
0.446 0.151 0.500
0.849 0.554 0.000
0.554 0.151 0.000
0.761 0.881 0.000
0.239 0.881 0.500
0.239 0.119 0.000
0.119 0.239 0.500
0.881 0.761 0.500
0.881 0.239 0.000
0.119 0.761 0.000
0.761 0.119 0.500
```

***

The following is a GGA-PBE calculation of a relaxed structure of Li4As3, from the Alexandria database.

## Properties
space-group type = No. 139
DOS at the Fermi energy = 0.317 states/eV per atom
M_tot = 0.000 μB per atom
relative energy among the computed polymorphs = 0.0 kJ per mole of atoms

Cell and atoms, written as POSCAR:
```
Li4As3
1.0
6.541 -6.259 -2.522
8.280 -4.054 1.822
-8.608 3.341 1.750
As Li
3 4
Direct
0.723 0.723 0.000
0.000 0.000 0.000
0.277 0.277 0.000
0.141 0.141 0.000
0.432 0.432 0.000
0.568 0.568 0.000
0.859 0.859 0.000
```

***

The following is a GGA-PBE calculation of a relaxed structure of Li2As3, from the Alexandria database.

## Properties
space-group type = No. 166
DOS at the Fermi energy = 0.353 states/eV per atom
M_tot = 0.000 μB per atom
relative energy among the computed polymorphs = 0.5 kJ per mole of atoms

Cell and atoms, written as POSCAR:
```
Li2As3
1.0
9.597 -1.736 0.017
9.597 1.736 0.017
9.278 0.000 3.007
As Li
3 2
Direct
0.192 0.192 0.192
0.000 0.000 0.000
0.808 0.808 0.808
0.604 0.604 0.604
0.396 0.396 0.396
```

***

The following is a GGA-PBE calculation of a relaxed structure of LiAs, from the Alexandria database.

## Properties
E_tot = -14.93 eV/cell
space-group type = No. 12
DOS at the Fermi energy = 0.250 states/eV per atom
M_tot = 0.000 μB per atom

Cell and atoms, written as POSCAR:
```
LiAs
1.0
5.381 0.012 -0.005
3.820 4.558 -0.014
0.762 0.267 2.743
As Li
2 2
Direct
0.947 0.523 0.765
0.969 0.061 0.985
0.455 0.041 0.252
0.461 0.543 0.498
```

***

The following is a GGA-PBE calculation of a relaxed structure of Li2As3, from the Alexandria database.

## Properties
space-group type = No. 164
DOS at the Fermi energy = 0.351 states/eV per atom
M_tot = 0.000 μB per atom
relative energy among the computed polymorphs = 0.0 kJ per mole of atoms

Cell and atoms, written as POSCAR:
```
Li2As3
1.0
-3.013 1.106 -2.781
0.376 -4.049 1.225
-3.558 0.950 4.232
As Li
3 2
Direct
0.333 0.667 0.373
0.000 0.000 0.000
0.667 0.333 0.627
0.333 0.667 0.860
0.667 0.333 0.140
```

***

The following is a GGA-PBE calculation of a relaxed structure of LiAs, from the Alexandria database.

## Properties
E_tot = -13.70 eV/cell
space-group type = No. 129
DOS at the Fermi energy = 0.383 states/eV per atom
M_tot = 0.000 μB per atom

Cell and atoms, written as POSCAR:
```
LiAs
1.0
2.759 0.000 0.000
0.000 2.759 0.000
0.000 0.000 10.163
Li As
2 2
Direct
0.750 0.750 0.371
0.250 0.250 0.629
0.250 0.250 0.183
0.750 0.750 0.817
```

***

Here are the calculated density numbers, same order: 1922 3172 3043 5213 5421 3277 3281 3469 3979 4046 4522 3513 (kg/m³).